Entry 1:
Here is crystalline NpAl11Cr at its relaxed geometry from Alexandria. Energies are from PBE.

Cell lengths 6.898, 6.898, 6.997 Å; angles 98.16, 98.16, 135.39 degrees
Element x y z (fractional)
Np 0.000 0.000 0.000
Al 0.000 0.500 0.000
Al 0.008 0.665 0.640
Al 0.278 0.489 0.780
Al 0.335 0.992 0.360
Al 0.489 0.278 0.780
Al 0.500 0.000 0.000
Al 0.500 0.500 0.500
Al 0.511 0.722 0.220
Al 0.665 0.008 0.640
Al 0.722 0.511 0.220
Al 0.992 0.335 0.360
Cr 0.000 0.000 0.500

Properties
The density of states at the Fermi level is 11.5 states/eV/cell. The total magnetization comes out at 0.256 μB per atom. The calculation puts the formation energy at -7.2 kJ/mol of atoms.

***

Entry 2:
Here is crystalline NiPd2Pt8 at its relaxed geometry from Alexandria. Energies are from PBE.

Cell lengths 7.381, 7.381, 6.229 Å; angles 104.65, 104.65, 30.87 degrees
Element x y z (fractional)
Ni 0.000 0.000 0.000
Pd 0.275 0.275 0.366
Pd 0.725 0.725 0.634
Pt 0.089 0.089 0.442
Pt 0.180 0.180 0.911
Pt 0.367 0.367 0.825
Pt 0.455 0.455 0.271
Pt 0.545 0.545 0.729
Pt 0.633 0.633 0.175
Pt 0.820 0.820 0.089
Pt 0.911 0.911 0.558

Properties
The density of states at the Fermi level is 21.2 states/eV/cell. The total magnetization comes out at 0.221 μB per atom. The calculation puts the formation energy at -4.1 kJ/mol of atoms. The calculation puts the energy relative to the lowest polymorph listed for this composition at 0 meV/atom.

***

Copy entry 1 word for word.
Here is crystalline NpAl11Cr at its relaxed geometry from Alexandria. Energies are from PBE.

Cell lengths 6.898, 6.898, 6.997 Å; angles 98.16, 98.16, 135.39 degrees
Element x y z (fractional)
Np 0.000 0.000 0.000
Al 0.000 0.500 0.000
Al 0.008 0.665 0.640
Al 0.278 0.489 0.780
Al 0.335 0.992 0.360
Al 0.489 0.278 0.780
Al 0.500 0.000 0.000
Al 0.500 0.500 0.500
Al 0.511 0.722 0.220
Al 0.665 0.008 0.640
Al 0.722 0.511 0.220
Al 0.992 0.335 0.360
Cr 0.000 0.000 0.500

Properties
The density of states at the Fermi level is 11.5 states/eV/cell. The total magnetization comes out at 0.256 μB per atom. The calculation puts the formation energy at -7.2 kJ/mol of atoms.

***

- What is the formula in the second record?
  NiPd2Pt8

***

What did the second record say?
Here is crystalline NiPd2Pt8 at its relaxed geometry from Alexandria. Energies are from PBE.

Cell lengths 7.381, 7.381, 6.229 Å; angles 104.65, 104.65, 30.87 degrees
Element x y z (fractional)
Ni 0.000 0.000 0.000
Pd 0.275 0.275 0.366
Pd 0.725 0.725 0.634
Pt 0.089 0.089 0.442
Pt 0.180 0.180 0.911
Pt 0.367 0.367 0.825
Pt 0.455 0.455 0.271
Pt 0.545 0.545 0.729
Pt 0.633 0.633 0.175
Pt 0.820 0.820 0.089
Pt 0.911 0.911 0.558

Properties
The density of states at the Fermi level is 21.2 states/eV/cell. The total magnetization comes out at 0.221 μB per atom. The calculation puts the formation energy at -4.1 kJ/mol of atoms. The calculation puts the energy relative to the lowest polymorph listed for this composition at 0 meV/atom.